Entry 1:
First-principles (GGA-PBE) data for a relaxed Tb2Pu3Ru2 crystal, as listed in Alexandria via LeMat-Bulk.

Geometry as CIF:
```
data_Tb2Pu3Ru2
_cell_length_a 11.1392
_cell_length_b 3.9256
_cell_length_c 8.3793
_cell_angle_alpha 90.00
_cell_angle_beta 111.11
_cell_angle_gamma 90.00
_space_group_name_H-M_alt 'C 1 2/m 1'
_space_group_IT_number 12
_space_group_name_Hall '-C 2y'
loop_
_atom_site_label
_atom_site_fract_x
_atom_site_fract_y
_atom_site_fract_z
Tb1 0.1615 0.0000 0.3094
Pu1 0.0000 0.5000 0.5000
Pu2 0.1230 0.5000 0.9366
Ru1 0.1373 0.0000 0.7063
```

---

Entry 2:
First-principles (GGA-PBE) data for a relaxed Ce5DyRu6 crystal, as listed in Alexandria via LeMat-Bulk.

Geometry as CIF:
```
data_Ce5DyRu6
_cell_length_a 8.2087
_cell_length_b 14.4493
_cell_length_c 4.9697
_cell_angle_alpha 90.00
_cell_angle_beta 123.61
_cell_angle_gamma 90.00
_space_group_name_H-M_alt 'C 1 2/m 1'
_space_group_IT_number 12
_space_group_name_Hall '-C 2y'
loop_
_atom_site_label
_atom_site_fract_x
_atom_site_fract_y
_atom_site_fract_z
Ce1 0.0000 0.0000 0.0000
Ce2 0.0000 0.1686 0.5000
Ce3 0.0000 0.3364 0.0000
Dy1 0.0000 0.5000 0.5000
Ru1 0.2380 0.1686 0.2069
Ru2 0.2442 0.0000 0.7677
```

---

no.,formation energy (eV/f.u.)
1,-1.060
2,-3.917